# TcAs2SeBr | Alexandria | GGA-PBEsol | relaxed
# **Raw total energy**: -0.1478 Ha/atom
# **Density of states at the Fermi level**: 0.7976 states/eV per atom
data_TcAs2SeBr
_chemical_formula_sum 'Tc1 As2 Se1 Br1'
_cell_length_a 4.964
_cell_length_b 4.964
_cell_length_c 4.995
_cell_angle_alpha 90.00
_cell_angle_beta 90.00
_cell_angle_gamma 90.00
_symmetry_space_group_name_H-M 'P 4/m m m'
_symmetry_Int_Tables_number 123
_symmetry_space_group_name_Hall '-P 4 2'
loop_
_atom_site_label
_atom_site_fract_x
_atom_site_fract_y
_atom_site_fract_z
_atom_site_occupancy
Tc1 0.000 0.000 0.000 1
As1 0.000 0.500 0.500 1
Se1 0.500 0.500 0.500 1
Br1 0.500 0.500 0.000 1